(1)
# Nd2ScAlO

A geometry-optimized Nd2ScAlO structure (PBE-GGA, the Alexandria database).

Cell and atoms, written as POSCAR:
```
Nd2ScAlO
1.0
-0.0319 -4.2886 -0.6888
3.4077 -0.6066 3.6188
-3.6691 -0.5138 3.3690
O Al Sc Nd
1 1 1 2
direct
0.0000 0.0000 0.0000 O
0.5000 0.5000 0.5000 Al
0.5000 0.0000 0.0000 Sc
0.0000 0.0000 0.5000 Nd
0.0000 0.5000 0.0000 Nd
```

Results
Formation energy without anion corrections = -1.338 eV per atom
Raw total energy = -31.3 eV per cell
M_tot = 0.00 μB/cell

(2)
# NdAlSiO5

A geometry-optimized NdAlSiO5 structure (PBE-GGA, the Alexandria database).

Cell and atoms, written as POSCAR:
```
NdAlSiO5
1.0
-1.5334 -4.9061 -1.9437
4.0781 1.7390 -3.2472
3.2631 -1.6368 5.7039
Nd Si Al O
2 2 2 10
direct
0.6709 0.3291 0.7500 Nd
0.3291 0.6709 0.2500 Nd
0.3170 0.6830 0.7500 Si
0.6830 0.3170 0.2500 Si
0.0000 0.0000 0.5000 Al
0.0000 0.0000 0.0000 Al
0.7499 0.6093 0.4200 O
0.2501 0.3907 0.5800 O
0.0676 0.9324 0.2500 O
0.1048 0.6887 0.8890 O
0.6093 0.7499 0.9200 O
0.3907 0.2501 0.0800 O
0.6887 0.1048 0.3890 O
0.8952 0.3113 0.1110 O
0.3113 0.8952 0.6110 O
0.9324 0.0676 0.7500 O
```

Results
Formation energy without anion corrections = -3.096 eV per atom
Raw total energy = -127.0 eV per cell
M_tot = 0.00 μB/cell

(3)
# Nd12SmAl4O3

A geometry-optimized Nd12SmAl4O3 structure (PBE-GGA, the Alexandria database).

Cell and atoms, written as POSCAR:
```
Nd12SmAl4O3
1.0
-2.0500 -6.9799 4.9323
6.7996 4.2419 3.6085
-6.9181 5.4024 -0.4508
Al Nd Sm O
4 12 1 3
direct
0.5000 0.5000 0.5000 Al
0.0000 0.5000 0.0000 Al
0.5000 0.0000 0.0000 Al
0.0000 0.0000 0.5000 Al
0.7286 0.7286 0.0000 Nd
0.7500 0.2500 0.5000 Nd
0.2500 0.5000 0.7500 Nd
0.2715 0.2715 0.0000 Nd
0.5000 0.2500 0.7500 Nd
0.7286 0.0000 0.7286 Nd
0.7500 0.5000 0.2500 Nd
0.2715 0.0000 0.2715 Nd
0.5000 0.7500 0.2500 Nd
0.0000 0.7286 0.7286 Nd
0.0000 0.2715 0.2715 Nd
0.2500 0.7500 0.5000 Nd
0.0000 0.0000 0.0000 Sm
0.5000 0.5000 0.0000 O
0.5000 0.0000 0.5000 O
0.0000 0.5000 0.5000 O
```

Results
Formation energy without anion corrections = -0.672 eV per atom
Raw total energy = -105.2 eV per cell
M_tot = 0.46 μB/cell

(4)
# NdSm12Al4O3

A geometry-optimized NdSm12Al4O3 structure (PBE-GGA, the Alexandria database).

Cell and atoms, written as POSCAR:
```
NdSm12Al4O3
1.0
8.6782 0.0000 0.0000
-2.8927 8.1818 0.0000
-2.8927 -4.0909 7.0857
Sm Al O Nd
12 4 3 1
direct
0.7500 0.2500 0.5000 Sm
0.2724 0.2724 0.0000 Sm
0.5000 0.2500 0.7500 Sm
0.7276 0.7276 0.0000 Sm
0.7500 0.5000 0.2500 Sm
0.0000 0.2724 0.2724 Sm
0.5000 0.7500 0.2500 Sm
0.0000 0.7276 0.7276 Sm
0.2724 0.0000 0.2724 Sm
0.2500 0.5000 0.7500 Sm
0.2500 0.7500 0.5000 Sm
0.7276 0.0000 0.7276 Sm
0.0000 0.5000 0.0000 Al
0.5000 0.5000 0.5000 Al
0.5000 0.0000 0.0000 Al
0.0000 0.0000 0.5000 Al
0.0000 0.5000 0.5000 O
0.5000 0.0000 0.5000 O
0.5000 0.5000 0.0000 O
0.0000 0.0000 0.0000 Nd
```

Results
Formation energy without anion corrections = -0.683 eV per atom
Raw total energy = -104.9 eV per cell
M_tot = 0.79 μB/cell

(5)
# SrNdAlO4

A geometry-optimized SrNdAlO4 structure (PBE-GGA, the Alexandria database).

Cell and atoms, written as POSCAR:
```
SrNdAlO4
1.0
-3.4315 -2.5357 5.2706
1.7638 -3.6922 5.4075
1.2947 5.3469 -3.9648
O Sr Nd Al
4 1 1 1
direct
0.4938 0.9938 0.5000 O
0.9938 0.4938 0.5000 O
0.8391 0.8391 0.0000 O
0.1657 0.1657 0.0000 O
0.6443 0.6443 0.0000 Sr
0.3593 0.3593 0.0000 Nd
0.0040 0.0040 0.0000 Al
```

Results
Formation energy without anion corrections = -3.121 eV per atom
Raw total energy = -51.9 eV per cell
M_tot = 0.00 μB/cell

(6)
# Sr4Nd3Ta2Al5O21

A geometry-optimized Sr4Nd3Ta2Al5O21 structure (PBE-GGA, the Alexandria database).

Cell and atoms, written as POSCAR:
```
Sr4Nd3Ta2Al5O21
1.0
15.9684 0.0005 0.0003
15.0334 5.3841 0.0003
15.0334 2.6111 4.7086
O Sr Ta Al Nd
21 4 2 5 3
direct
0.7904 0.2826 0.7904 O
0.6397 0.6397 0.1491 O
0.5000 0.5000 0.0000 O
0.4228 0.9277 0.9277 O
0.9277 0.4228 0.9277 O
0.3604 0.8509 0.3604 O
0.6397 0.1491 0.6397 O
0.7904 0.7904 0.2826 O
0.2826 0.7904 0.7904 O
0.0723 0.0723 0.5772 O
0.0000 0.5000 0.5000 O
0.2096 0.2096 0.7174 O
0.9277 0.9277 0.4228 O
0.1491 0.6397 0.6397 O
0.2096 0.7174 0.2096 O
0.7174 0.2096 0.2096 O
0.8509 0.3604 0.3604 O
0.5000 0.0000 0.5000 O
0.3604 0.3604 0.8509 O
0.5772 0.0723 0.0723 O
0.0723 0.5772 0.0723 O
0.4252 0.4252 0.4252 Sr
0.5748 0.5748 0.5748 Sr
0.1426 0.1426 0.1426 Sr
0.8574 0.8574 0.8574 Sr
0.2153 0.2153 0.2153 Ta
0.7847 0.7847 0.7847 Ta
0.9311 0.9311 0.9311 Al
0.0689 0.0689 0.0689 Al
0.5000 0.5000 0.5000 Al
0.6428 0.6428 0.6428 Al
0.3572 0.3572 0.3572 Al
0.7108 0.7108 0.7108 Nd
0.0000 0.0000 0.0000 Nd
0.2892 0.2892 0.2892 Nd
```

Results
Formation energy without anion corrections = -3.120 eV per atom
Raw total energy = -276.8 eV per cell
M_tot = 0.00 μB/cell

(7)
# Sr3NdTaAl3O12

A geometry-optimized Sr3NdTaAl3O12 structure (PBE-GGA, the Alexandria database).

Cell and atoms, written as POSCAR:
```
Sr3NdTaAl3O12
1.0
-1.7320 4.9863 -1.4079
-4.5401 -3.6926 -7.5115
-8.8796 -2.3915 2.4695
O Al Ta Sr Nd
24 6 2 6 2
direct
0.0015 0.3713 0.3830 O
0.5009 0.6246 0.1240 O
0.7514 0.1227 0.8726 O
0.8007 0.8964 0.6043 O
0.7710 0.3926 0.1078 O
0.7516 0.6269 0.3770 O
0.2494 0.3722 0.6247 O
0.7597 0.8722 0.1325 O
0.7597 0.3673 0.6277 O
0.1840 0.0948 0.4044 O
0.2420 0.1265 0.8691 O
0.7362 0.6381 0.8619 O
0.5001 0.8719 0.3733 O
0.4977 0.1270 0.6278 O
0.0008 0.8812 0.8680 O
0.2817 0.8544 0.6453 O
0.6898 0.1491 0.3511 O
0.5015 0.3758 0.8756 O
0.9998 0.6323 0.6186 O
0.2495 0.8757 0.1283 O
0.2804 0.3625 0.1374 O
0.2342 0.6145 0.8853 O
0.2421 0.6311 0.3736 O
0.0003 0.1175 0.1281 O
0.0004 0.9966 0.9995 Al
0.0059 0.7475 0.7526 Al
0.5029 0.5051 0.9949 Al
0.5010 0.7467 0.2460 Al
0.0004 0.5005 0.5034 Al
0.5008 0.2540 0.7533 Al
0.9972 0.2561 0.2439 Ta
0.5004 0.9937 0.5063 Ta
0.0003 0.6347 0.1164 Sr
0.0001 0.3836 0.8654 Sr
0.5008 0.1217 0.1065 Sr
0.5009 0.3935 0.3783 Sr
0.4996 0.8693 0.8885 Sr
0.4995 0.6114 0.6307 Sr
0.0017 0.8506 0.3638 Nd
0.0023 0.1363 0.6493 Nd
```

Results
Formation energy without anion corrections = -2.978 eV per atom
Raw total energy = -303.9 eV per cell
M_tot = 1.27 μB/cell

(8)
# Sr3NdTaAl3O12

A geometry-optimized Sr3NdTaAl3O12 structure (PBE-GGA, the Alexandria database).

Cell and atoms, written as POSCAR:
```
Sr3NdTaAl3O12
1.0
-7.2117 -4.1214 -4.6594
2.0420 -9.1709 -1.5588
-2.3222 -1.3335 4.7588
O Sr Al Ta Nd
24 6 6 2 2
direct
0.6304 0.8606 0.0005 O
0.8882 0.8803 0.7532 O
0.6165 0.6170 0.7491 O
0.1288 0.8712 0.5000 O
0.3830 0.3835 0.2509 O
0.8841 0.3742 0.2727 O
0.3804 0.8730 0.2516 O
0.1394 0.3696 0.9995 O
0.6243 0.6095 0.2391 O
0.6463 0.3537 0.5000 O
0.8523 0.1477 0.0000 O
0.1197 0.1118 0.2468 O
0.1270 0.6196 0.7484 O
0.3637 0.1332 0.4994 O
0.8774 0.8912 0.2687 O
0.3750 0.8791 0.7553 O
0.1209 0.6250 0.2447 O
0.6258 0.1159 0.7273 O
0.3905 0.3757 0.7609 O
0.1088 0.1226 0.7313 O
0.8668 0.6363 0.5006 O
0.3751 0.6249 0.0000 O
0.6127 0.1297 0.2415 O
0.8703 0.3873 0.7585 O
0.3715 0.6285 0.5000 Sr
0.1363 0.3857 0.5002 Sr
0.3747 0.1229 0.9989 Sr
0.6143 0.8637 0.4998 Sr
0.8771 0.6253 0.0011 Sr
0.1391 0.8609 0.0000 Sr
0.7471 0.5049 0.5019 Al
0.4963 0.7466 0.9995 Al
0.4951 0.2529 0.4981 Al
0.2534 0.5037 0.0005 Al
0.0060 0.7460 0.5020 Al
0.2540 0.9940 0.4980 Al
0.7440 0.9960 0.9988 Ta
0.0040 0.2560 0.0012 Ta
0.8747 0.1253 0.5000 Nd
0.6053 0.3947 0.0000 Nd
```

Results
Formation energy without anion corrections = -2.968 eV per atom
Raw total energy = -303.5 eV per cell
M_tot = 1.16 μB/cell

(9)
# TbNd2AlO

A geometry-optimized TbNd2AlO structure (PBE-GGA, the Alexandria database).

Cell and atoms, written as POSCAR:
```
TbNd2AlO
1.0
4.7309 0.0000 0.0000
0.0000 4.9506 0.0000
0.0000 0.0000 4.9506
Nd O Tb Al
2 1 1 1
direct
0.0000 0.0000 0.5000 Nd
0.0000 0.5000 0.0000 Nd
0.0000 0.0000 0.0000 O
0.5000 0.0000 0.0000 Tb
0.5000 0.5000 0.5000 Al
```

Results
Formation energy without anion corrections = -1.330 eV per atom
Raw total energy = -29.5 eV per cell
M_tot = 0.00 μB/cell

(10)
# Nd2TiAlO6

A geometry-optimized Nd2TiAlO6 structure (PBE-GGA, the Alexandria database).

Cell and atoms, written as POSCAR:
```
Nd2TiAlO6
1.0
-0.7102 4.6202 2.8560
0.6516 -2.8218 4.7269
7.6040 1.2819 -0.2829
O Nd Ti Al
12 4 2 2
direct
0.4204 0.9876 0.7571 O
0.7211 0.2979 0.5438 O
0.5796 0.0124 0.2429 O
0.2012 0.2154 0.4609 O
0.7789 0.7979 0.9562 O
0.7988 0.7846 0.5391 O
0.0796 0.4876 0.7429 O
0.7012 0.2846 0.9609 O
0.2789 0.7021 0.4562 O
0.9204 0.5124 0.2571 O
0.2211 0.2021 0.0438 O
0.2988 0.7154 0.0391 O
0.4900 0.4489 0.2513 Nd
0.5100 0.5511 0.7487 Nd
0.0100 0.9489 0.2487 Nd
0.9900 0.0511 0.7513 Nd
0.0000 0.5000 0.0000 Ti
0.5000 0.0000 0.5000 Ti
0.5000 0.0000 0.0000 Al
0.0000 0.5000 0.5000 Al
```

Results
Formation energy without anion corrections = -3.171 eV per atom
Raw total energy = -165.3 eV per cell
M_tot = 2.00 μB/cell

(11)
# NdAlTl2O6

A geometry-optimized NdAlTl2O6 structure (PBE-GGA, the Alexandria database).

Cell and atoms, written as POSCAR:
```
NdAlTl2O6
1.0
-4.0095 2.6416 -2.9449
-5.4295 -0.8944 1.2034
-3.0476 4.3570 2.6709
Tl O Al Nd
2 6 1 1
direct
0.5393 0.5393 0.3822 Tl
0.0275 0.0275 0.9175 Tl
0.5661 0.2148 0.2457 O
0.4111 0.6702 0.7877 O
0.6702 0.1310 0.7877 O
0.1310 0.4111 0.7877 O
0.2148 0.9735 0.2457 O
0.9734 0.5661 0.2457 O
0.3208 0.3208 0.0375 Al
0.8074 0.8074 0.5779 Nd
```

Results
Formation energy without anion corrections = -1.828 eV per atom
Raw total energy = -61.3 eV per cell
M_tot = 0.00 μB/cell

(12)
# Nd2AlTlO6

A geometry-optimized Nd2AlTlO6 structure (PBE-GGA, the Alexandria database).

Cell and atoms, written as POSCAR:
```
Nd2AlTlO6
1.0
5.5636 0.0000 -0.0152
0.0000 5.8569 0.0000
0.0281 0.0000 8.0390
O Al Tl Nd
12 2 2 4
direct
0.6737 0.2807 0.9343 O
0.7824 0.8230 0.9470 O
0.8263 0.7807 0.5657 O
0.1130 0.4551 0.7268 O
0.2824 0.6770 0.4470 O
0.3870 0.9551 0.7732 O
0.6130 0.0449 0.2268 O
0.8870 0.5449 0.2732 O
0.1737 0.2193 0.4343 O
0.7176 0.3230 0.5530 O
0.2176 0.1770 0.0530 O
0.3263 0.7193 0.0657 O
0.5000 0.0000 0.0000 Al
0.0000 0.5000 0.5000 Al
0.0000 0.5000 0.0000 Tl
0.5000 0.0000 0.5000 Tl
0.4817 0.4387 0.2517 Nd
0.0183 0.9387 0.2483 Nd
0.5183 0.5613 0.7483 Nd
0.9817 0.0613 0.7517 Nd
```

Results
Formation energy without anion corrections = -2.569 eV per atom
Raw total energy = -142.2 eV per cell
M_tot = 0.00 μB/cell

> The lowest formation energy without anion corrections belongs to which entry?

Nd2TiAlO6